Record 1
Below is MgTaAg after structural relaxation, with properties calculated at the PBE-GGA level.

a b c (Å): 6.661 6.661 6.661
angles (deg): 154.53 154.53 36.33
Positions (direct):
Ag 0.998 0.998 0.000
Mg 0.338 0.338 0.000
Ta 0.665 0.665 0.000

Calculated values
polymorph energy (0 for the lowest one)	12.24	kJ/mol of atoms

***

Record 2
Below is MgTaAg after structural relaxation, with properties calculated at the PBE-GGA level.

a b c (Å): 2.924 2.924 7.493
angles (deg): 90.00 90.00 120.00
Positions (direct):
Ag 0.000 0.000 0.003
Mg 0.667 0.333 0.325
Ta 0.333 0.667 0.672

Calculated values
polymorph energy (0 for the lowest one)	15.17	kJ/mol of atoms

***

Record 3
Below is MgTaAg3 after structural relaxation, with properties calculated at the PBE-GGA level.

a b c (Å): 4.693 4.693 4.693
angles (deg): 90.00 90.00 90.00
Each line ends with the local moment (μB).
Positions (direct):
Mg 0.000 0.000 0.000  -0.01
Ag 0.000 0.500 0.000  0.00
Ag 0.000 0.000 0.500  0.00
Ag 0.500 0.000 0.000  0.01
Ta 0.500 0.500 0.500  0.86

Calculated values
polymorph energy (0 for the lowest one)	0.00	kJ/mol of atoms

***

Record 4
Below is MgTaAg after structural relaxation, with properties calculated at the PBE-GGA level.

a b c (Å): 3.196 7.715 4.567
angles (deg): 89.92 89.99 78.00
Positions (direct):
Mg 0.041 0.288 0.293
Mg 0.204 0.962 0.793
Ag 0.540 0.290 0.793
Ag 0.705 0.960 0.293
Ta 0.878 0.613 0.793
Ta 0.366 0.637 0.293

Calculated values
polymorph energy (0 for the lowest one)	6.05	kJ/mol of atoms

***

Record 5
Below is MgTaAg2 after structural relaxation, with properties calculated at the PBE-GGA level.

a b c (Å): 4.944 4.944 5.574
angles (deg): 83.85 83.85 32.96
Positions (direct):
Ag 0.000 0.000 0.006
Ag 0.500 0.500 0.494
Mg 0.750 0.750 0.750
Ta 0.250 0.250 0.250

***

Record 6
Below is MgTa4Ag after structural relaxation, with properties calculated at the PBE-GGA level.

a b c (Å): 5.514 5.514 5.514
angles (deg): 60.00 60.00 60.00
Positions (direct):
Mg 0.000 0.000 0.000
Ta 0.879 0.374 0.374
Ta 0.374 0.374 0.879
Ta 0.374 0.879 0.374
Ta 0.374 0.374 0.374
Ag 0.750 0.750 0.750

***

Record 7
Below is MgTaAg after structural relaxation, with properties calculated at the PBE-GGA level.

a b c (Å): 8.142 5.816 4.699
angles (deg): 90.00 90.00 90.00
Positions (direct):
Mg 0.000 0.000 0.000
Mg 0.500 0.500 0.500
Mg 0.500 0.000 0.500
Mg 0.000 0.500 0.000
Ag 0.667 0.250 0.000
Ag 0.833 0.750 0.500
Ag 0.333 0.750 0.000
Ag 0.167 0.250 0.500
Ta 0.333 0.250 0.000
Ta 0.167 0.750 0.500
Ta 0.667 0.750 0.000
Ta 0.833 0.250 0.500

Calculated values
polymorph energy (0 for the lowest one)	44.98	kJ/mol of atoms

***

Record 8
Below is MgTaAg2 after structural relaxation, with properties calculated at the PBE-GGA level.

a b c (Å): 9.921 9.921 9.921
angles (deg): 17.07 17.07 17.07
Positions (direct):
Ag 0.999 0.999 0.999
Ag 0.249 0.249 0.249
Mg 0.503 0.503 0.503
Ta 0.749 0.749 0.749

***

ΔE_f values, unit eV/f.u., following the record order: 0.6; 0.6; 5.9; 0.4; 1.1; 3.0; 1.6; 0.7.
Raw total energy values, unit eV per cell, following the record order: -15.74; -15.65; -16.10; -31.87; -18.08; -48.90; -58.91; -18.47.
Total moment values, unit μB/f.u., following the record order: 0.00; 0.00; 1.25; 0.00; 0.00; 0.00; 0.00; 0.00.